No. 1
An optimized crystal structure of Ti2FeIr. Source: the Alexandria database, functional PBE-GGA.

abc: 4.267 4.267 3.129
angles: 90.00 90.00 90.00
Space group P4/mmm (No. 123)
Symmetry-distinct sites (fractional):
Ti 0.000 0.500 0.000
Fe 0.000 0.000 0.500
Ir 0.500 0.500 0.500

Properties
Raw total energy in eV per cell: -35.6
Calculated formation energy in eV/atom: -0.626

No. 2
An optimized crystal structure of Ti2FeIr. Source: the Alexandria database, functional PBE-GGA.

abc: 6.109 6.109 6.109
angles: 90.00 90.00 90.00
Space group Fm-3m (No. 225)
Symmetry-distinct sites (fractional):
Ti 0.250 0.250 0.250
Fe 0.000 0.000 0.000
Ir 0.000 0.000 0.500

Properties
Raw total energy in eV per cell: -142.9
Calculated formation energy in eV/atom: -0.653

No. 3
An optimized crystal structure of Ti4Fe3Ir. Source: the Alexandria database, functional PBE-GGA.

abc: 2.985 2.985 12.125
angles: 90.00 90.00 90.00
Space group P4/mmm (No. 123)
Symmetry-distinct sites (fractional):
Ti 0.000 0.000 0.121
Ti 0.000 0.000 0.362
Fe 0.500 0.500 0.000
Fe 0.500 0.500 0.246
Ir 0.500 0.500 0.500

Properties
Raw total energy in eV per cell: -70.0
Calculated formation energy in eV/atom: -0.517

- Number 3 is which compound?
  Ti4Fe3Ir

- Look up the raw total energy of the first one.
  -35.6 eV per cell

Copy entry 2 word for word.
An optimized crystal structure of Ti2FeIr. Source: the Alexandria database, functional PBE-GGA.

abc: 6.109 6.109 6.109
angles: 90.00 90.00 90.00
Space group Fm-3m (No. 225)
Symmetry-distinct sites (fractional):
Ti 0.250 0.250 0.250
Fe 0.000 0.000 0.000
Ir 0.000 0.000 0.500

Properties
Raw total energy in eV per cell: -142.9
Calculated formation energy in eV/atom: -0.653